Entry 1:
# CrOsAu, optimized geometry, DFT GGA-PBE
data_CrOsAu
_chemical_formula_sum 'Cr2 Os2 Au2'
_cell_length_a 2.824
_cell_length_b 2.824
_cell_length_c 11.314
_cell_angle_alpha 90.00
_cell_angle_beta 90.00
_cell_angle_gamma 90.00
_space_group_name_H-M_alt 'I 4 m m'
_space_group_IT_number 107
_space_group_name_Hall 'I 4 -2'
loop_
_atom_site_label
_atom_site_type_symbol
_atom_site_fract_x
_atom_site_fract_y
_atom_site_fract_z
Cr1 Cr 0.000 0.000 0.000
Os1 Os 0.000 0.000 0.373
Au1 Au 0.000 0.000 0.679
# Raw total energy: -7.7659 eV per atom
# Offset from the most stable computed form: 0.0 meV per atom
# DOS(E_F): 5.9 states/eV per cell

---

Entry 2:
# BaTiSn, optimized geometry, DFT GGA-PBE
data_BaTiSn
_chemical_formula_sum 'Ba2 Ti2 Sn2'
_cell_length_a 4.637
_cell_length_b 4.637
_cell_length_c 8.983
_cell_angle_alpha 90.00
_cell_angle_beta 90.00
_cell_angle_gamma 90.00
_space_group_name_H-M_alt 'P 4/n m m'
_space_group_IT_number 129
loop_
_space_group_symop_operation_xyz
'x,y,z'
'-x,-y,-z'
'-y+1/2,x,z'
'y+1/2,-x,-z'
'-x+1/2,-y+1/2,z'
'x+1/2,y+1/2,-z'
'y,-x+1/2,z'
'-y,x+1/2,-z'
'x+1/2,-y,-z'
'-x+1/2,y,z'
'-y,-x,-z'
'y,x,z'
'-x,y+1/2,-z'
'x,-y+1/2,z'
'y+1/2,x+1/2,-z'
'-y+1/2,-x+1/2,z'
loop_
_atom_site_label
_atom_site_type_symbol
_atom_site_fract_x
_atom_site_fract_y
_atom_site_fract_z
Ba1 Ba 0.250 0.250 0.164
Ti1 Ti 0.250 0.750 0.500
Sn1 Sn 0.250 0.250 0.696
# Raw total energy: -4.9107 eV per atom
# Offset from the most stable computed form: 0.0 meV per atom
# DOS(E_F): 4.0 states/eV per cell

---

Entry 3:
# Lu2TcS, optimized geometry, DFT GGA-PBE
data_Lu2TcS
_chemical_formula_sum 'Lu6 Tc3 S3'
_cell_length_a 3.3804
_cell_length_b 3.3804
_cell_length_c 26.2258
_cell_angle_alpha 90.00
_cell_angle_beta 90.00
_cell_angle_gamma 120.00
_space_group_name_H-M_alt 'R -3 m'
_space_group_IT_number 166
_space_group_name_Hall '-R 3 2"'
loop_
_atom_site_label
_atom_site_type_symbol
_atom_site_fract_x
_atom_site_fract_y
_atom_site_fract_z
Lu1 Lu 0.0000 0.0000 0.0991
Tc1 Tc 0.0000 0.0000 0.0000
S1 S 0.0000 0.0000 0.5000
# Formation energy from raw total energies: -18.4 kJ per mole of atoms
# Raw total energy: -6.0743 eV per atom
# DOS(E_F): 5.5 states/eV per cell

---

Entry 4:
# La2ZnPdC, optimized geometry, DFT GGA-PBE
data_La2ZnPdC
_chemical_formula_sum 'La2 Zn1 Pd1 C1'
_cell_length_a 5.317
_cell_length_b 5.317
_cell_length_c 4.029
_cell_angle_alpha 90.00
_cell_angle_beta 90.00
_cell_angle_gamma 90.00
_space_group_name_H-M_alt 'P 4/m m m'
_space_group_IT_number 123
_space_group_name_Hall '-P 4 2'
loop_
_atom_site_label
_atom_site_type_symbol
_atom_site_fract_x
_atom_site_fract_y
_atom_site_fract_z
La1 La 0.000 0.500 0.000
Zn1 Zn 0.000 0.000 0.500
Pd1 Pd 0.500 0.500 0.500
C1 C 0.500 0.500 0.000
# Raw total energy: -5.3509 eV per atom
# Offset from the most stable computed form: 27.1 meV per atom
# DOS(E_F): 4.5 states/eV per cell

---

Entry 5:
# ErPuZnAu, optimized geometry, DFT GGA-PBE
data_ErPuZnAu
_chemical_formula_sum 'Er4 Pu4 Zn4 Au4'
_cell_length_a 7.187
_cell_length_b 7.187
_cell_length_c 7.187
_cell_angle_alpha 90.00
_cell_angle_beta 90.00
_cell_angle_gamma 90.00
_space_group_name_H-M_alt 'F -4 3 m'
_space_group_IT_number 216
_space_group_name_Hall 'F -4 2 3'
loop_
_atom_site_label
_atom_site_type_symbol
_atom_site_fract_x
_atom_site_fract_y
_atom_site_fract_z
Er1 Er 0.000 0.000 0.000
Pu1 Pu 0.000 0.000 0.500
Zn1 Zn 0.250 0.250 0.250
Au1 Au 0.250 0.250 0.750
# Raw total energy: -6.2335 eV per atom
# DOS(E_F): 38.1 states/eV per cell

---

Entry 6:
# Li2AuBr2, optimized geometry, DFT GGA-PBE
data_Li2AuBr2
_chemical_formula_sum 'Li4 Au2 Br4'
_cell_length_a 5.211
_cell_length_b 5.211
_cell_length_c 9.780
_cell_angle_alpha 90.00
_cell_angle_beta 90.00
_cell_angle_gamma 90.00
_space_group_name_H-M_alt 'I 4/m m m'
_space_group_IT_number 139
_space_group_name_Hall '-I 4 2'
loop_
_atom_site_label
_atom_site_type_symbol
_atom_site_fract_x
_atom_site_fract_y
_atom_site_fract_z
Li1 Li 0.000 0.000 0.227
Au1 Au 0.000 0.000 0.500
Br1 Br 0.000 0.500 0.250
# Formation energy from raw total energies: -63.5 kJ per mole of atoms
# Raw total energy: -2.7480 eV per atom
# Offset from the most stable computed form: 38.7 meV per atom
# DOS(E_F): 5.6 states/eV per cell

---

Entry 7:
# VRe2Tc, optimized geometry, DFT GGA-PBE
data_VRe2Tc
_chemical_formula_sum 'V4 Re8 Tc4'
_cell_length_a 6.148
_cell_length_b 6.148
_cell_length_c 6.148
_cell_angle_alpha 90.00
_cell_angle_beta 90.00
_cell_angle_gamma 90.00
_space_group_name_H-M_alt 'F m -3 m'
_space_group_IT_number 225
_space_group_name_Hall '-F 4 2 3'
loop_
_atom_site_label
_atom_site_type_symbol
_atom_site_fract_x
_atom_site_fract_y
_atom_site_fract_z
V1 V 0.000 0.000 0.000
Re1 Re 0.250 0.250 0.250
Tc1 Tc 0.000 0.000 0.500
# Raw total energy: -11.1090 eV per atom
# Offset from the most stable computed form: 64.9 meV per atom
# DOS(E_F): 16.0 states/eV per cell

---

Entry 8:
# SrLiSi2Hg, optimized geometry, DFT GGA-PBE
data_SrLiSi2Hg
_chemical_formula_sum 'Sr1 Li1 Si2 Hg1'
_cell_length_a 5.219
_cell_length_b 5.219
_cell_length_c 4.833
_cell_angle_alpha 90.00
_cell_angle_beta 90.00
_cell_angle_gamma 90.00
_space_group_name_H-M_alt 'P 4/m m m'
_space_group_IT_number 123
_space_group_name_Hall '-P 4 2'
loop_
_atom_site_label
_atom_site_type_symbol
_atom_site_fract_x
_atom_site_fract_y
_atom_site_fract_z
Sr1 Sr 0.000 0.000 0.000
Li1 Li 0.500 0.500 0.000
Si1 Si 0.000 0.500 0.500
Hg1 Hg 0.500 0.500 0.500
# Formation energy from raw total energies: 23.8 kJ per mole of atoms
# Raw total energy: -2.7022 eV per atom
# DOS(E_F): 2.5 states/eV per cell

---

Entry 9:
# MnCuBr3, optimized geometry, DFT GGA-PBE
data_MnCuBr3
_chemical_formula_sum 'Mn2 Cu2 Br6'
_cell_length_a 6.605
_cell_length_b 3.969
_cell_length_c 11.053
_cell_angle_alpha 90.00
_cell_angle_beta 97.33
_cell_angle_gamma 90.00
_space_group_name_H-M_alt 'P 1 21/m 1'
_space_group_IT_number 11
loop_
_space_group_symop_operation_xyz
'x,y,z'
'-x,-y,-z'
'-x,y+1/2,-z'
'x,-y+1/2,z'
loop_
_atom_site_label
_atom_site_type_symbol
_atom_site_fract_x
_atom_site_fract_y
_atom_site_fract_z
Mn1 Mn 0.041 0.250 0.161
Cu1 Cu 0.487 0.750 0.277
Br1 Br 0.157 0.250 0.741
Br2 Br 0.237 0.750 0.050
Br3 Br 0.333 0.250 0.348
# Formation energy from raw total energies: -52.5 kJ per mole of atoms
# Raw total energy: -4.2014 eV per atom
# Offset from the most stable computed form: 0.0 meV per atom

---

Entry 10:
# Ce2DySb3, optimized geometry, DFT GGA-PBE
data_Ce2DySb3
_chemical_formula_sum 'Ce8 Dy4 Sb12'
_cell_length_a 6.314
_cell_length_b 13.373
_cell_length_c 8.927
_cell_angle_alpha 90.00
_cell_angle_beta 90.00
_cell_angle_gamma 90.00
_space_group_name_H-M_alt 'P 1 21/c 1'
_space_group_IT_number 14
loop_
_space_group_symop_operation_xyz
'x,y,z'
'-x,-y,-z'
'-x,y+1/2,-z+1/2'
'x,-y+1/2,z+1/2'
loop_
_atom_site_label
_atom_site_type_symbol
_atom_site_fract_x
_atom_site_fract_y
_atom_site_fract_z
Ce1 Ce 0.249 0.248 0.375
Ce2 Ce 0.250 0.583 0.873
Dy1 Dy 0.250 0.585 0.376
Sb1 Sb 0.250 0.081 0.629
Sb2 Sb 0.250 0.082 0.121
Sb3 Sb 0.251 0.750 0.125
# Formation energy from raw total energies: -102.9 kJ per mole of atoms
# Raw total energy: -5.8724 eV per atom
# Offset from the most stable computed form: 3.2 meV per atom
# DOS(E_F): 55.2 states/eV per cell

---

Entry 11:
# NdErCuPt, optimized geometry, DFT GGA-PBE
data_NdErCuPt
_chemical_formula_sum 'Nd4 Er4 Cu4 Pt4'
_cell_length_a 7.061
_cell_length_b 7.061
_cell_length_c 7.061
_cell_angle_alpha 90.00
_cell_angle_beta 90.00
_cell_angle_gamma 90.00
_space_group_name_H-M_alt 'F -4 3 m'
_space_group_IT_number 216
_space_group_name_Hall 'F -4 2 3'
loop_
_atom_site_label
_atom_site_type_symbol
_atom_site_fract_x
_atom_site_fract_y
_atom_site_fract_z
Nd1 Nd 0.000 0.000 0.000
Er1 Er 0.000 0.000 0.500
Cu1 Cu 0.250 0.250 0.250
Pt1 Pt 0.250 0.250 0.750
# Raw total energy: -5.5688 eV per atom
# Offset from the most stable computed form: 44.9 meV per atom
# DOS(E_F): 7.8 states/eV per cell

---

Entry 12:
# Ce5Zn3In3, optimized geometry, DFT GGA-PBE
data_Ce5Zn3In3
_chemical_formula_sum 'Ce5 Zn3 In3'
_cell_length_a 10.0056
_cell_length_b 10.0056
_cell_length_c 3.1425
_cell_angle_alpha 90.00
_cell_angle_beta 90.00
_cell_angle_gamma 120.00
_space_group_name_H-M_alt 'P -6 2 m'
_space_group_IT_number 189
_space_group_name_Hall 'P -6 -2'
loop_
_atom_site_label
_atom_site_type_symbol
_atom_site_fract_x
_atom_site_fract_y
_atom_site_fract_z
Ce1 Ce 0.0000 0.3492 0.0000
Ce2 Ce 0.3333 0.6667 0.0000
Zn1 Zn 0.0000 0.8579 0.0000
In1 In 0.0000 0.6328 0.5000
# Raw total energy: -3.7832 eV per atom
# DOS(E_F): 26.5 states/eV per cell